(1)
An optimized crystal structure of Sr3Cd2Hg4Bi2. Source: Alexandria via LeMat-Bulk, functional PBE.

Values from the calculation:
Total magnetization   0.000 μB/cell
Energy of formation   -0.391 eV per atom
Theoretical density   8.3 g cm⁻³

CIF file:
```
data_Sr3Cd2Hg4Bi2
_chemical_formula_sum 'Sr6 Cd4 Hg8 Bi4'
_symmetry_space_group_name_H-M 'I 4/m m m'
_symmetry_Int_Tables_number 139
_symmetry_space_group_name_Hall '-I 4 2'
_cell_length_a 4.862
_cell_length_b 4.862
_cell_length_c 28.957
_cell_angle_alpha 90.00
_cell_angle_beta 90.00
_cell_angle_gamma 90.00
loop_
_atom_site_label
_atom_site_type_symbol
_atom_site_fract_x
_atom_site_fract_y
_atom_site_fract_z
Sr1 Sr 0.000 0.000 0.000
Sr2 Sr 0.000 0.000 0.196
Cd1 Cd 0.000 0.000 0.452
Hg1 Hg 0.000 0.500 0.103
Bi1 Bi 0.000 0.000 0.317
```

=====

(2)
An optimized crystal structure of BaPrIn2Te4. Source: Alexandria via LeMat-Bulk, functional PBE.

Values from the calculation:
Total magnetization   0.000 μB/cell
Raw formation energy   -0.94 eV per atom
Theoretical density   5.6 g cm⁻³

CIF file:
```
data_BaPrIn2Te4
_chemical_formula_sum 'Ba1 Pr1 In2 Te4'
_symmetry_space_group_name_H-M 'P 1 2/m 1'
_symmetry_Int_Tables_number 10
_cell_length_a 8.186
_cell_length_b 4.631
_cell_length_c 8.334
_cell_angle_alpha 90.00
_cell_angle_beta 108.57
_cell_angle_gamma 90.00
loop_
_symmetry_equiv_pos_as_xyz
'x,y,z'
'-x,-y,-z'
'-x,y,-z'
'x,-y,z'
loop_
_atom_site_label
_atom_site_type_symbol
_atom_site_fract_x
_atom_site_fract_y
_atom_site_fract_z
Ba1 Ba 0.000 0.000 0.000
Pr1 Pr 0.000 0.500 0.500
In1 In 0.500 0.000 0.500
In2 In 0.500 0.500 0.000
Te1 Te 0.243 0.000 0.723
Te2 Te 0.258 0.500 0.280
```

=====

(3)
An optimized crystal structure of CaZn2F6. Source: Alexandria via LeMat-Bulk, functional PBE.

Values from the calculation:
Total magnetization   0.000 μB/cell
Raw formation energy   -2.86 eV per atom
Theoretical density   3.9 g cm⁻³

CIF file:
```
data_CaZn2F6
_chemical_formula_sum 'Ca1 Zn2 F6'
_symmetry_space_group_name_H-M 'P -3 1 m'
_symmetry_Int_Tables_number 162
_symmetry_space_group_name_Hall '-P 3 2'
_cell_length_a 5.3501
_cell_length_b 5.3501
_cell_length_c 4.9329
_cell_angle_alpha 90.00
_cell_angle_beta 90.00
_cell_angle_gamma 120.00
loop_
_atom_site_label
_atom_site_type_symbol
_atom_site_fract_x
_atom_site_fract_y
_atom_site_fract_z
Ca1 Ca 0.0000 0.0000 0.0000
Zn1 Zn 0.3333 0.6667 0.5000
F1 F 0.0000 0.3502 0.7261
```